1.
# La2NbTcC, relaxed, DFT PBEsol
data_La2NbTcC
_chemical_formula_sum 'La2 Nb1 Tc1 C1'
_cell_length_a 5.440
_cell_length_b 5.440
_cell_length_c 3.932
_cell_angle_alpha 90.00
_cell_angle_beta 90.00
_cell_angle_gamma 90.00
_space_group_name_H-M_alt 'P 4/m m m'
_space_group_IT_number 123
_space_group_name_Hall '-P 4 2'
loop_
_atom_site_label
_atom_site_type_symbol
_atom_site_fract_x
_atom_site_fract_y
_atom_site_fract_z
_atom_site_occupancy
La1 La 0.000 0.500 0.000 1
Nb1 Nb 0.000 0.000 0.500 1
Tc1 Tc 0.500 0.500 0.000 1
C1 C 0.500 0.500 0.500 1
# Calculated formation energy (eV/atom): 1.00
# E (eV/cell): -37.42
# Density of states at the Fermi level (states/eV/atom): 1.04

=====

2.
# LiCd2Ga, relaxed, DFT PBEsol
data_LiCd2Ga
_chemical_formula_sum 'Li4 Cd8 Ga4'
_cell_length_a 6.642
_cell_length_b 6.642
_cell_length_c 6.642
_cell_angle_alpha 90.00
_cell_angle_beta 90.00
_cell_angle_gamma 90.00
_space_group_name_H-M_alt 'F m -3 m'
_space_group_IT_number 225
_space_group_name_Hall '-F 4 2 3'
loop_
_atom_site_label
_atom_site_type_symbol
_atom_site_fract_x
_atom_site_fract_y
_atom_site_fract_z
_atom_site_occupancy
Li1 Li 0.000 0.000 0.000 1
Cd1 Cd 0.250 0.250 0.250 1
Ga1 Ga 0.000 0.000 0.500 1
# Calculated formation energy (eV/atom): -0.14
# E (eV/cell): -33.09
# Density of states at the Fermi level (states/eV/atom): 0.26

=====

3.
# In3BiSe, relaxed, DFT PBEsol
data_In3BiSe
_chemical_formula_sum 'In3 Bi1 Se1'
_cell_length_a 5.355
_cell_length_b 5.355
_cell_length_c 5.355
_cell_angle_alpha 90.00
_cell_angle_beta 90.00
_cell_angle_gamma 90.00
_space_group_name_H-M_alt 'P m -3 m'
_space_group_IT_number 221
_space_group_name_Hall '-P 4 2 3'
loop_
_atom_site_label
_atom_site_type_symbol
_atom_site_fract_x
_atom_site_fract_y
_atom_site_fract_z
_atom_site_occupancy
In1 In 0.000 0.000 0.500 1
Bi1 Bi 0.500 0.500 0.500 1
Se1 Se 0.000 0.000 0.000 1
# Energy relative to the elements, uncorrected (kJ per mole of atoms): 24.1
# E (eV/cell): -15.84
# Density of states at the Fermi level (states/eV/atom): 0.51

=====

4.
# Ca2HoF7, relaxed, DFT PBEsol
data_Ca2HoF7
_chemical_formula_sum 'Ca2 Ho1 F7'
_cell_length_a 3.8239
_cell_length_b 3.8239
_cell_length_c 9.6175
_cell_angle_alpha 90.00
_cell_angle_beta 90.00
_cell_angle_gamma 120.00
_space_group_name_H-M_alt 'P 3 m 1'
_space_group_IT_number 156
loop_
_space_group_symop_operation_xyz
'x,y,z'
'-y,x-y,z'
'-x+y,-x,z'
'-y,-x,z'
'-x+y,y,z'
'x,x-y,z'
loop_
_atom_site_label
_atom_site_type_symbol
_atom_site_fract_x
_atom_site_fract_y
_atom_site_fract_z
_atom_site_occupancy
Ca1 Ca 0.0000 0.0000 0.0000 1
Ca2 Ca 0.3333 0.6667 0.6705 1
Ho1 Ho 0.6667 0.3333 0.3466 1
F1 F 0.0000 0.0000 0.2316 1
F2 F 0.0000 0.0000 0.4730 1
F3 F 0.0000 0.0000 0.7607 1
F4 F 0.3333 0.6667 0.3565 1
F5 F 0.3333 0.6667 0.9201 1
F6 F 0.6667 0.3333 0.0977 1
F7 F 0.6667 0.3333 0.5907 1
# Energy relative to the elements, uncorrected (kJ per mole of atoms): -384.1
# E (eV/cell): -62.51
# Density of states at the Fermi level (states/eV/atom): 0.00